Entry 1:
Computed, not measured: a relaxed structure of Tb2CeNdP4 at the PBE-GGA level of DFT.

The space group is P2/m (No. 10) and the conventional cell measures 7.050, 4.078 and 7.063 Å, with angles of 90.00, 109.42 and 90.00 degrees. The distinct sites, in fractional coordinates, are Tb at (0.000, 0.000, 0.000), Tb at (0.000, 0.500, 0.500), Ce at (0.500, 0.000, 0.500), Nd at (0.500, 0.500, 0.000), P at (0.245, 0.000, 0.744) and P at (0.246, 0.500, 0.252).

Its crystal system is monoclinic. As for the energy relative to the elements: -1.57 eV per atom. As for the density of states at the Fermi level: 5.72 states/eV/f.u.

Entry 2:
Computed, not measured: a relaxed structure of DyAlCr2Se6 at the PBE-GGA level of DFT.

The space group is R3 (No. 146, hexagonal axes) and the conventional cell measures 6.6102, 6.6102 and 17.8274 Å, with angles of 90.00, 90.00 and 120.00 degrees. The distinct sites, in fractional coordinates, are Dy at (0.0000, 0.0000, 0.0000), Al at (0.0000, 0.0000, 0.4947), Cr at (0.0000, 0.0000, 0.3025), Cr at (0.0000, 0.0000, 0.8066), Se at (0.0069, 0.3505, 0.5603) and Se at (0.0207, 0.6286, 0.0685).

Its crystal system is trigonal. As for the density of states at the Fermi level: 0.18 states/eV/f.u. For the uncorrected formation energy, the calculation gives -848.1 meV per atom.

Entry 3:
Computed, not measured: a relaxed structure of Ce2PuTe at the PBE-GGA level of DFT.

The space group is R-3m (No. 166, hexagonal axes) and the conventional cell measures 3.7423, 3.7423 and 23.1876 Å, with angles of 90.00, 90.00 and 120.00 degrees. The distinct sites, in fractional coordinates, are Ce at (0.0000, 0.0000, 0.2335), Pu at (0.0000, 0.0000, 0.5000) and Te at (0.0000, 0.0000, 0.0000).

Its crystal system is trigonal. As for the density of states at the Fermi level: 7.10 states/eV/f.u. For the uncorrected formation energy, the calculation gives -260.8 meV per atom.